No. 1
## LaNdErCd (GGA-PBE)

Data for LaNdErCd after structural relaxation.

abc: 3.7271 3.7271 8.9388
angles: 90.00 90.00 90.00
Last column: nearest neighbours and their distance in Å.
Element x y z (fractional)
1 La 0.0000 0.0000 0.0807  4 Er 3.60, 4 Nd 3.69, 4 La 3.73
2 Nd 0.5000 0.5000 0.7911  4 Cd 3.36, 4 La 3.69, 4 Nd 3.73
3 Er 0.5000 0.5000 0.3558  4 Cd 3.19
4 Cd 0.0000 0.0000 0.5571  4 Er 3.19, 4 Nd 3.36

Output
The calculation puts the total energy at -3.936 eV per atom. The total magnetic moment comes out at 0.000 μB per formula unit. As for the formation energy: -0.143 eV/atom. The relative energy among the computed polymorphs is 0.00 eV per formula unit.


No. 2
## PuReB2 (GGA-PBE)

Data for PuReB2 after structural relaxation.

abc: 5.3808 5.8145 6.4621
angles: 90.00 90.00 90.00
Last column: nearest neighbours and their distance in Å.
Element x y z (fractional)
1 Pu 0.7500 0.4971 0.8385  8 B 2.63-2.91, 1 Re 2.92
2 Pu 0.7500 0.9971 0.6615  8 B 2.63-2.91, 1 Re 2.92
3 Pu 0.2500 0.5029 0.1615  8 B 2.63-2.91, 1 Re 2.92
4 Pu 0.2500 0.0029 0.3385  8 B 2.63-2.91, 1 Re 2.92
5 Re 0.7500 0.3158 0.3126  6 B 2.28-2.30
6 Re 0.7500 0.8158 0.1874  6 B 2.28-2.30
7 Re 0.2500 0.6842 0.6874  6 B 2.28-2.30
8 Re 0.2500 0.1842 0.8126  6 B 2.28-2.30
9 B 0.9201 0.1328 0.0347  2 B 1.82-1.83
10 B 0.5799 0.6328 0.4653  2 B 1.82-1.83
11 B 0.4201 0.8672 0.9653  2 B 1.82-1.83
12 B 0.0799 0.3672 0.5347  2 B 1.82-1.83
13 B 0.0799 0.8672 0.9653  2 B 1.82-1.83
14 B 0.4201 0.3672 0.5347  2 B 1.82-1.83
15 B 0.5799 0.1328 0.0347  2 B 1.82-1.83
16 B 0.9201 0.6328 0.4653  2 B 1.82-1.83

Output
The calculation puts the total energy at -10.399 eV per atom. The total magnetic moment comes out at 4.371 μB per formula unit. As for the formation energy: -0.365 eV/atom. The relative energy among the computed polymorphs is 0.00 eV per formula unit.


No. 3
## Cs2BaCl6F (GGA-PBE)

Data for Cs2BaCl6F after structural relaxation.

abc: 7.5200 7.5200 8.3658
angles: 63.29 63.29 90.00
Last column: nearest neighbours and their distance in Å.
Element x y z (fractional)
1 Cs 0.7500 0.2500 0.5000  12 Cl 3.77-4.19
2 Cs 0.2500 0.7500 0.5000  12 Cl 3.77-4.19
3 F 0.5000 0.5000 0.0000  4 Cl 2.35
4 Ba 0.0000 0.0000 0.0000  6 Cl 2.96-2.97
5 Cl 0.2297 0.2297 0.5407  1 Ba 2.97
6 Cl 0.7703 0.7703 0.4593  1 Ba 2.97
7 Cl 0.2786 0.2786 0.0000  1 F 2.35
8 Cl 0.7214 0.7214 0.0000  1 F 2.35
9 Cl 0.7214 0.2786 0.0000  1 F 2.35
10 Cl 0.2786 0.7214 0.0000  1 F 2.35

Output
The calculation puts the total energy at -2.952 eV per atom. The total magnetic moment comes out at 1.491 μB per formula unit. The value obtained for the uncorrected formation energy is -1293.7 meV/atom.


No. 4
## Na3Tl3Pt (GGA-PBE)

Data for Na3Tl3Pt after structural relaxation.

abc: 3.6567 6.4649 16.8101
angles: 85.17 83.76 73.57
Last column: nearest neighbours and their distance in Å.
Element x y z (fractional)
1 Na 0.5034 0.3772 0.6160  2 Pt 3.02, 6 Tl 3.26-3.30
2 Na 0.4966 0.6228 0.3840  2 Pt 3.02, 6 Tl 3.26-3.30
3 Na 0.2457 0.2541 0.2546  2 Pt 3.05, 2 Tl 3.37
4 Na 0.7543 0.7459 0.7454  2 Pt 3.05, 2 Tl 3.37
5 Na 0.3684 0.3414 0.9218  7 Tl 3.24-3.48
6 Na 0.6316 0.6586 0.0782  7 Tl 3.24-3.48
7 Tl 0.8475 0.7725 0.5325  3 Pt 2.80-2.96
8 Tl 0.1525 0.2275 0.4675  3 Pt 2.80-2.96
9 Tl 0.1077 0.8649 0.9198  2 Tl 3.17-3.24, 5 Na 3.24-3.48
10 Tl 0.8923 0.1351 0.0802  2 Tl 3.17-3.24, 5 Na 3.24-3.48
11 Tl 0.9816 0.8050 0.2318  1 Pt 2.76
12 Tl 0.0184 0.1950 0.7682  1 Pt 2.76
13 Pt 0.8077 0.0104 0.3741  4 Tl 2.76-2.96, 4 Na 3.02-3.05
14 Pt 0.1923 0.9896 0.6259  4 Tl 2.76-2.96, 4 Na 3.02-3.05

Output
The calculation puts the total energy at -2.572 eV per atom. The total magnetic moment comes out at 0.000 μB per formula unit. As for the formation energy: -0.129 eV/atom.


No. 5
## VSi2Ru (GGA-PBE)

Data for VSi2Ru after structural relaxation.

abc: 2.8852 2.8852 6.2273
angles: 90.00 90.00 90.00
Last column: nearest neighbours and their distance in Å.
Element x y z (fractional)
1 Ru 0.5000 0.5000 0.0000  8 Si 2.52
2 Si 0.0000 0.0000 0.7613  4 Ru 2.52, 4 V 2.61
3 Si 0.0000 0.0000 0.2387  4 Ru 2.52, 4 V 2.61
4 V 0.5000 0.5000 0.5000  8 Si 2.61, 4 V 2.89

Output
The calculation puts the total energy at -7.717 eV per atom. The total magnetic moment comes out at 0.703 μB per formula unit. The value obtained for the uncorrected formation energy is -406.8 meV/atom.


No. 6
## Au3IO (GGA-PBE)

Data for Au3IO after structural relaxation.

abc: 4.6700 4.6700 4.6700
angles: 90.00 90.00 90.00
Last column: nearest neighbours and their distance in Å.
Element x y z (fractional)
1 I 0.5000 0.5000 0.5000  12 Au 3.30
2 Au 0.0000 0.5000 0.0000  2 O 2.34
3 Au 0.0000 0.0000 0.5000  2 O 2.34
4 Au 0.5000 0.0000 0.0000  2 O 2.34
5 O 0.0000 0.0000 0.0000  6 Au 2.34

Output
The calculation puts the total energy at -2.808 eV per atom. The total magnetic moment comes out at 0.000 μB per formula unit. The relative energy among the computed polymorphs is 0.00 eV per formula unit. The value obtained for the uncorrected formation energy is 459.7 meV/atom.